No. 1
An optimized crystal structure of BaSn2Os2, computed with GGA-PBE.

a = 8.3020 Å, b = 8.3020 Å, c = 3.0876 Å
α = 90.00°, β = 90.00°, γ = 90.00°
Element x y z (fractional)
1 Ba 0.0000 0.0000 0.0000
2 Ba 0.5000 0.5000 0.0000
3 Sn 0.1359 0.3641 0.0000
4 Sn 0.3641 0.8641 0.0000
5 Sn 0.6359 0.1359 0.0000
6 Sn 0.8641 0.6359 0.0000
7 Os 0.1513 0.6513 0.5000
8 Os 0.3487 0.1513 0.5000
9 Os 0.6513 0.8487 0.5000
10 Os 0.8487 0.3487 0.5000

Computed properties:
Formation energy from the elements ... 424 meV/atom
Volume ... 21.28 Å³ per atom
VASP energy ... -0.222 hartree per atom
Relative energy among the computed polymorphs ... 276 meV/atom

***

No. 2
An optimized crystal structure of NpFe4C2, computed with GGA-PBE.

a = 7.0296 Å, b = 7.0296 Å, c = 3.0189 Å
α = 90.00°, β = 90.00°, γ = 90.00°
Element x y z (fractional)
1 Np 0.0000 0.0000 0.0000
2 Np 0.5000 0.5000 0.5000
3 Fe 0.0848 0.3258 0.5000
4 Fe 0.1742 0.5848 0.0000
5 Fe 0.3258 0.0848 0.5000
6 Fe 0.4152 0.8258 0.0000
7 Fe 0.5848 0.1742 0.0000
8 Fe 0.6742 0.9152 0.5000
9 Fe 0.8258 0.4152 0.0000
10 Fe 0.9152 0.6742 0.5000
11 C 0.2186 0.7814 0.5000
12 C 0.2814 0.2814 0.0000
13 C 0.7186 0.7186 0.0000
14 C 0.7814 0.2186 0.5000

Computed properties:
Formation energy from the elements ... 85 meV/atom
Volume ... 10.66 Å³ per atom
VASP energy ... -0.339 hartree per atom

***

No. 3
An optimized crystal structure of Mg4Mn, computed with GGA-PBE.

a = 6.7260 Å, b = 6.7260 Å, c = 4.5045 Å
α = 90.00°, β = 90.00°, γ = 90.00°
Element x y z (fractional)
1 Mg 0.1064 0.2948 0.0000
2 Mg 0.2052 0.6064 0.5000
3 Mg 0.2948 0.8936 0.0000
4 Mg 0.3936 0.2052 0.5000
5 Mg 0.6064 0.7948 0.5000
6 Mg 0.7052 0.1064 0.0000
7 Mg 0.7948 0.3936 0.5000
8 Mg 0.8936 0.7052 0.0000
9 Mn 0.0000 0.0000 0.5000
10 Mn 0.5000 0.5000 0.0000

Computed properties:
Formation energy from the elements ... 167 meV/atom
Volume ... 20.38 Å³ per atom
VASP energy ... -0.108 hartree per atom
Relative energy among the computed polymorphs ... 0 meV/atom

***

No. 4
An optimized crystal structure of CaAlTe, computed with GGA-PBE.

a = 5.3189 Å, b = 5.5011 Å, c = 10.8412 Å
α = 90.00°, β = 90.00°, γ = 90.00°
Element x y z (fractional)
1 Ca 0.0000 0.0000 0.0000
2 Ca 0.0000 0.5000 0.5000
3 Ca 0.5000 0.0000 0.5000
4 Ca 0.5000 0.5000 0.0000
5 Al 0.0000 0.0000 0.3117
6 Al 0.0000 0.5000 0.8117
7 Al 0.5000 0.0000 0.8117
8 Al 0.5000 0.5000 0.3117
9 Te 0.0000 0.0000 0.6869
10 Te 0.0000 0.5000 0.1869
11 Te 0.5000 0.0000 0.1869
12 Te 0.5000 0.5000 0.6869

Computed properties:
Volume ... 26.43 Å³ per atom
VASP energy ... -0.126 hartree per atom
Relative energy among the computed polymorphs ... 0 meV/atom
Uncorrected formation energy ... -0.46 eV/atom

***

No. 5
An optimized crystal structure of La8Tb4Sc, computed with GGA-PBE.

a = 7.9195 Å, b = 7.9195 Å, c = 7.9195 Å
α = 90.74°, β = 90.74°, γ = 90.74°
Element x y z (fractional)
1 La 0.2395 0.2395 0.2395
2 La 0.2387 0.2387 0.7524
3 La 0.2387 0.7524 0.2387
4 La 0.2476 0.7613 0.7613
5 La 0.7524 0.2387 0.2387
6 La 0.7613 0.2476 0.7613
7 La 0.7613 0.7613 0.2476
8 La 0.7605 0.7605 0.7605
9 Tb 0.0000 0.0000 0.0000
10 Tb 0.0000 0.5000 0.5000
11 Tb 0.5000 0.0000 0.5000
12 Tb 0.5000 0.5000 0.0000
13 Sc 0.5000 0.5000 0.5000

Computed properties:
Formation energy from the elements ... 434 meV/atom
Volume ... 38.20 Å³ per atom
VASP energy ... -0.166 hartree per atom

***

No. 6
An optimized crystal structure of Hg6S4IBr2Cl, computed with GGA-PBE.

a = 13.3229 Å, b = 9.6424 Å, c = 13.2698 Å
α = 90.00°, β = 90.00°, γ = 90.00°
Element x y z (fractional)
1 Hg 0.0186 0.2500 0.2011
2 Hg 0.1229 0.0084 0.6463
3 Hg 0.1229 0.4916 0.6463
4 Hg 0.1500 0.5107 0.3733
5 Hg 0.1500 0.9893 0.3733
6 Hg 0.1938 0.7500 0.0195
7 Hg 0.3062 0.2500 0.5195
8 Hg 0.3500 0.0107 0.8733
9 Hg 0.3500 0.4893 0.8733
10 Hg 0.3771 0.5084 0.1463
11 Hg 0.3771 0.9916 0.1463
12 Hg 0.4814 0.7500 0.7011
13 Hg 0.5186 0.2500 0.2989
14 Hg 0.6229 0.0084 0.8537
15 Hg 0.6229 0.4916 0.8537
16 Hg 0.6500 0.5107 0.1267
17 Hg 0.6500 0.9893 0.1267
18 Hg 0.6938 0.7500 0.4805
19 Hg 0.8062 0.2500 0.9805
20 Hg 0.8500 0.0107 0.6267
21 Hg 0.8500 0.4893 0.6267
22 Hg 0.8771 0.5084 0.3537
23 Hg 0.8771 0.9916 0.3537
24 Hg 0.9814 0.7500 0.7989
25 S 0.0221 0.5006 0.2405
26 S 0.0221 0.9994 0.2405
27 S 0.2419 0.9998 0.0221
28 S 0.2419 0.5002 0.0221
29 S 0.2581 0.0002 0.5221
30 S 0.2581 0.4998 0.5221
31 S 0.4779 0.0006 0.7405
32 S 0.4779 0.4994 0.7405
33 S 0.5221 0.5006 0.2595
34 S 0.5221 0.9994 0.2595
35 S 0.7419 0.9998 0.4779
36 S 0.7419 0.5002 0.4779
37 S 0.7581 0.0002 0.9779
38 S 0.7581 0.4998 0.9779
39 S 0.9779 0.0006 0.7595
40 S 0.9779 0.4994 0.7595
41 I 0.0070 0.7500 0.4935
42 I 0.4930 0.2500 0.9935
43 I 0.5070 0.7500 0.0065
44 I 0.9930 0.2500 0.5065
45 Br 0.2264 0.7500 0.7720
46 Br 0.2397 0.2500 0.7603
47 Br 0.2603 0.7500 0.2603
48 Br 0.2736 0.2500 0.2720
49 Br 0.7264 0.7500 0.7280
50 Br 0.7397 0.2500 0.7397
51 Br 0.7603 0.7500 0.2397
52 Br 0.7736 0.2500 0.2280
53 Cl 0.0020 0.2500 0.0008
54 Cl 0.4980 0.7500 0.5008
55 Cl 0.5020 0.2500 0.4992
56 Cl 0.9980 0.7500 0.9992

Computed properties:
Volume ... 30.44 Å³ per atom
VASP energy ... -0.076 hartree per atom
Uncorrected formation energy ... -0.29 eV/atom

***

No. 7
An optimized crystal structure of KCSeN2, computed with GGA-PBE.

a = 4.7429 Å, b = 4.7429 Å, c = 6.6075 Å
α = 90.00°, β = 90.00°, γ = 90.00°
Element x y z (fractional)
1 K 0.0000 0.0000 0.0000
2 C 0.5000 0.5000 0.5000
3 Se 0.0000 0.0000 0.5000
4 N 0.0000 0.5000 0.0000
5 N 0.5000 0.0000 0.0000

Computed properties:
Volume ... 29.73 Å³ per atom
VASP energy ... -0.081 hartree per atom
Relative energy among the computed polymorphs ... 1680 meV/atom
Uncorrected formation energy ... 3.89 eV/atom

***

No. 8
An optimized crystal structure of LiMg2Pd8, computed with GGA-PBE.

a = 7.2888 Å, b = 7.2888 Å, c = 6.2703 Å
α = 105.93°, β = 105.93°, γ = 32.03°
Element x y z (fractional)
1 Li 0.0000 0.0000 0.0000
2 Mg 0.2762 0.2762 0.3472
3 Mg 0.7238 0.7238 0.6528
4 Pd 0.0941 0.0941 0.4525
5 Pd 0.1771 0.1771 0.9106
6 Pd 0.3598 0.3598 0.8119
7 Pd 0.4574 0.4574 0.2720
8 Pd 0.5426 0.5426 0.7280
9 Pd 0.6402 0.6402 0.1881
10 Pd 0.8229 0.8229 0.0894
11 Pd 0.9059 0.9059 0.5475

Computed properties:
Formation energy from the elements ... -407 meV/atom
Volume ... 15.39 Å³ per atom
VASP energy ... -0.171 hartree per atom

***

No. 9
An optimized crystal structure of CaPBr, computed with GGA-PBE.

a = 4.9160 Å, b = 4.9160 Å, c = 3.6736 Å
α = 90.00°, β = 90.00°, γ = 120.00°
Element x y z (fractional)
1 Ca 0.0000 0.0000 0.0000
2 P 0.6667 0.3333 0.4988
3 Br 0.3333 0.6667 0.9979

Computed properties:
Volume ... 25.63 Å³ per atom
VASP energy ... -0.124 hartree per atom
Relative energy among the computed polymorphs ... 929 meV/atom
Uncorrected formation energy ... -0.36 eV/atom

***

No. 10
An optimized crystal structure of MgSc2Zn2, computed with GGA-PBE.

a = 4.2202 Å, b = 4.2202 Å, c = 12.2043 Å
α = 90.00°, β = 90.00°, γ = 90.00°
Element x y z (fractional)
1 Mg 0.0000 0.0000 0.0000
2 Mg 0.5000 0.5000 0.5000
3 Sc 0.0000 0.5000 0.2500
4 Sc 0.0000 0.5000 0.7500
5 Sc 0.5000 0.0000 0.2500
6 Sc 0.5000 0.0000 0.7500
7 Zn 0.0000 0.0000 0.4027
8 Zn 0.0000 0.0000 0.5973
9 Zn 0.5000 0.5000 0.0973
10 Zn 0.5000 0.5000 0.9027

Computed properties:
Formation energy from the elements ... 21 meV/atom
Volume ... 21.74 Å³ per atom
VASP energy ... -0.123 hartree per atom
Relative energy among the computed polymorphs ... 301 meV/atom

***

No. 11
An optimized crystal structure of CaNdCuAu, computed with GGA-PBE.

a = 7.2503 Å, b = 7.2503 Å, c = 7.2503 Å
α = 90.00°, β = 90.00°, γ = 90.00°
Element x y z (fractional)
1 Ca 0.0000 0.0000 0.0000
2 Ca 0.0000 0.5000 0.5000
3 Ca 0.5000 0.0000 0.5000
4 Ca 0.5000 0.5000 0.0000
5 Nd 0.0000 0.0000 0.5000
6 Nd 0.0000 0.5000 0.0000
7 Nd 0.5000 0.0000 0.0000
8 Nd 0.5000 0.5000 0.5000
9 Cu 0.2500 0.2500 0.7500
10 Cu 0.2500 0.7500 0.2500
11 Cu 0.7500 0.2500 0.2500
12 Cu 0.7500 0.7500 0.7500
13 Au 0.2500 0.2500 0.2500
14 Au 0.2500 0.7500 0.7500
15 Au 0.7500 0.2500 0.7500
16 Au 0.7500 0.7500 0.2500

Computed properties:
Formation energy from the elements ... -470 meV/atom
Volume ... 23.82 Å³ per atom
VASP energy ... -0.147 hartree per atom
Relative energy among the computed polymorphs ... 11 meV/atom

***

No. 12
An optimized crystal structure of Si2IrI, computed with GGA-PBE.

a = 6.1859 Å, b = 6.1859 Å, c = 11.1294 Å
α = 90.00°, β = 90.00°, γ = 90.00°
Element x y z (fractional)
1 Si 0.1475 0.2500 0.1250
2 Si 0.2500 0.6475 0.3750
3 Si 0.2500 0.8525 0.8750
4 Si 0.3525 0.2500 0.6250
5 Si 0.6475 0.7500 0.6250
6 Si 0.7500 0.1475 0.8750
7 Si 0.7500 0.3525 0.3750
8 Si 0.8525 0.7500 0.1250
9 Ir 0.0000 0.0000 0.0000
10 Ir 0.0000 0.5000 0.2500
11 Ir 0.5000 0.0000 0.7500
12 Ir 0.5000 0.5000 0.5000
13 I 0.0000 0.0000 0.5000
14 I 0.0000 0.5000 0.7500
15 I 0.5000 0.0000 0.2500
16 I 0.5000 0.5000 0.0000

Computed properties:
Volume ... 26.62 Å³ per atom
VASP energy ... -0.190 hartree per atom
Relative energy among the computed polymorphs ... 0 meV/atom
Uncorrected formation energy ... 0.15 eV/atom

***

No. 13
An optimized crystal structure of AlCrCl2, computed with GGA-PBE.

a = 3.3371 Å, b = 5.2602 Å, c = 11.4963 Å
α = 90.00°, β = 90.00°, γ = 90.00°
Element x y z (fractional)
1 Al 0.0000 0.0000 0.0000
2 Al 0.5000 0.5000 0.5000
3 Cr 0.0000 0.0000 0.5000
4 Cr 0.5000 0.5000 0.0000
5 Cl 0.0000 0.5000 0.1510
6 Cl 0.0000 0.5000 0.8490
7 Cl 0.5000 0.0000 0.3491
8 Cl 0.5000 0.0000 0.6510

Computed properties:
Volume ... 25.22 Å³ per atom
VASP energy ... -0.168 hartree per atom
Relative energy among the computed polymorphs ... 260 meV/atom
Uncorrected formation energy ... -0.29 eV/atom

***

No. 14
An optimized crystal structure of Pr2NdNpN4, computed with GGA-PBE.

a = 6.2177 Å, b = 3.6013 Å, c = 6.2371 Å
α = 90.00°, β = 108.93°, γ = 90.00°
Element x y z (fractional)
1 Pr 0.0000 0.0000 0.0000
2 Pr 0.5000 0.5000 0.0000
3 Nd 0.0000 0.5000 0.5000
4 Np 0.5000 0.0000 0.5000
5 N 0.2731 0.0000 0.7228
6 N 0.2749 0.5000 0.2771
7 N 0.7251 0.5000 0.7229
8 N 0.7269 0.0000 0.2772

Computed properties:
Volume ... 16.51 Å³ per atom
VASP energy ... -0.325 hartree per atom
Uncorrected formation energy ... -1.28 eV/atom

***

No. 15
An optimized crystal structure of Pm2HgIrC, computed with GGA-PBE.

a = 5.2742 Å, b = 5.2742 Å, c = 3.8928 Å
α = 90.00°, β = 90.00°, γ = 90.00°
Element x y z (fractional)
1 Pm 0.0000 0.5000 0.0000
2 Pm 0.5000 0.0000 0.0000
3 Hg 0.0000 0.0000 0.5000
4 Ir 0.5000 0.5000 0.5000
5 C 0.5000 0.5000 0.0000

Computed properties:
Formation energy from the elements ... -496 meV/atom
Volume ... 21.66 Å³ per atom
VASP energy ... -0.223 hartree per atom

***

No. 16
An optimized crystal structure of As2Pb2Au, computed with GGA-PBE.

a = 6.6265 Å, b = 6.6265 Å, c = 6.0265 Å
α = 90.00°, β = 90.00°, γ = 90.00°
Element x y z (fractional)
1 As 0.1324 0.3676 0.0000
2 As 0.3676 0.8676 0.0000
3 As 0.6324 0.1324 0.0000
4 As 0.8676 0.6324 0.0000
5 Pb 0.1849 0.3151 0.5000
6 Pb 0.3151 0.8151 0.5000
7 Pb 0.6849 0.1849 0.5000
8 Pb 0.8151 0.6849 0.5000
9 Au 0.0000 0.0000 0.0000
10 Au 0.5000 0.5000 0.0000

Computed properties:
Formation energy from the elements ... 28 meV/atom
Volume ... 26.46 Å³ per atom
VASP energy ... -0.146 hartree per atom
Relative energy among the computed polymorphs ... 0 meV/atom

***

No. 17
An optimized crystal structure of YSc2GaN, computed with GGA-PBE.

a = 4.4294 Å, b = 4.4294 Å, c = 4.7205 Å
α = 90.00°, β = 90.00°, γ = 90.00°
Element x y z (fractional)
1 Y 0.0000 0.0000 0.0000
2 Sc 0.0000 0.5000 0.5000
3 Sc 0.5000 0.0000 0.5000
4 Ga 0.5000 0.5000 0.0000
5 N 0.0000 0.0000 0.5000

Computed properties:
Volume ... 18.52 Å³ per atom
VASP energy ... -0.264 hartree per atom
Uncorrected formation energy ... -1.08 eV/atom

***

No. 18
An optimized crystal structure of Sm5Co2Ni, computed with GGA-PBE.

a = 8.7610 Å, b = 8.7610 Å, c = 8.7610 Å
α = 130.45°, β = 130.45°, γ = 72.69°
Element x y z (fractional)
1 Sm 0.0000 0.0000 0.0000
2 Sm 0.0356 0.5356 0.8530
3 Sm 0.1826 0.0356 0.5000
4 Sm 0.3174 0.8174 0.8530
5 Sm 0.4644 0.3174 0.5000
6 Sm 0.5000 0.5000 0.0000
7 Sm 0.5356 0.6826 0.5000
8 Sm 0.6826 0.1826 0.1470
9 Sm 0.8174 0.9644 0.5000
10 Sm 0.9644 0.4644 0.1470
11 Co 0.1117 0.3883 0.5000
12 Co 0.3883 0.8883 0.2766
13 Co 0.6117 0.1117 0.7234
14 Co 0.8883 0.6117 0.5000
15 Ni 0.2500 0.2500 0.0000
16 Ni 0.7500 0.7500 0.0000

Computed properties:
Formation energy from the elements ... -126 meV/atom
Volume ... 23.78 Å³ per atom
VASP energy ... -0.205 hartree per atom

***

No. 19
An optimized crystal structure of TbZnInSn, computed with GGA-PBE.

a = 4.4720 Å, b = 4.4947 Å, c = 4.6396 Å
α = 90.00°, β = 90.00°, γ = 90.00°
Element x y z (fractional)
1 Tb 0.0000 0.0000 0.0000
2 Zn 0.5000 0.0000 0.5000
3 In 0.0000 0.5000 0.5000
4 Sn 0.5000 0.5000 0.0000

Computed properties:
Formation energy from the elements ... -419 meV/atom
Volume ... 23.31 Å³ per atom
VASP energy ... -0.132 hartree per atom

***

No. 20
An optimized crystal structure of PrYScIn, computed with GGA-PBE.

a = 4.7789 Å, b = 4.8156 Å, c = 4.8569 Å
α = 90.00°, β = 90.00°, γ = 90.00°
Element x y z (fractional)
1 Pr 0.0000 0.0000 0.0000
2 Y 0.5000 0.0000 0.5000
3 Sc 0.5000 0.5000 0.0000
4 In 0.0000 0.5000 0.5000

Computed properties:
Formation energy from the elements ... -252 meV/atom
Volume ... 27.94 Å³ per atom
VASP energy ... -0.196 hartree per atom
Relative energy among the computed polymorphs ... 0 meV/atom

***

No. 21
An optimized crystal structure of FeSi2Se, computed with GGA-PBE.

a = 2.7209 Å, b = 4.1431 Å, c = 10.6524 Å
α = 90.00°, β = 90.00°, γ = 90.00°
Element x y z (fractional)
1 Fe 0.0000 0.0000 0.0000
2 Fe 0.5000 0.5000 0.5000
3 Si 0.0000 0.5000 0.3077
4 Si 0.0000 0.5000 0.6923
5 Si 0.5000 0.0000 0.1923
6 Si 0.5000 0.0000 0.8077
7 Se 0.0000 0.0000 0.5000
8 Se 0.5000 0.5000 0.0000

Computed properties:
Volume ... 15.01 Å³ per atom
VASP energy ... -0.198 hartree per atom
Uncorrected formation energy ... 0.32 eV/atom

***

No. 22
An optimized crystal structure of ScCrCu2, computed with GGA-PBE.

a = 6.1806 Å, b = 6.1806 Å, c = 6.1806 Å
α = 90.00°, β = 90.00°, γ = 90.00°
Element x y z (fractional)
1 Sc 0.0000 0.0000 0.0000
2 Sc 0.0000 0.5000 0.5000
3 Sc 0.5000 0.0000 0.5000
4 Sc 0.5000 0.5000 0.0000
5 Cr 0.2500 0.2500 0.7500
6 Cr 0.2500 0.7500 0.2500
7 Cr 0.7500 0.2500 0.2500
8 Cr 0.7500 0.7500 0.7500
9 Cu 0.0000 0.0000 0.5000
10 Cu 0.0000 0.5000 0.0000
11 Cu 0.2500 0.2500 0.2500
12 Cu 0.2500 0.7500 0.7500
13 Cu 0.5000 0.0000 0.0000
14 Cu 0.5000 0.5000 0.5000
15 Cu 0.7500 0.2500 0.7500
16 Cu 0.7500 0.7500 0.2500

Computed properties:
Formation energy from the elements ... 100 meV/atom
Volume ... 14.76 Å³ per atom
VASP energy ... -0.218 hartree per atom
Relative energy among the computed polymorphs ... 58 meV/atom

***

No. 23
An optimized crystal structure of CaMgSn, computed with GGA-PBE.

a = 4.9821 Å, b = 4.9821 Å, c = 3.7761 Å
α = 90.00°, β = 90.00°, γ = 120.00°
Element x y z (fractional)
1 Ca 0.0000 0.0000 0.0000
2 Mg 0.3333 0.6667 0.5008
3 Sn 0.6667 0.3333 0.4987

Computed properties:
Formation energy from the elements ... -420 meV/atom
Volume ... 27.06 Å³ per atom
VASP energy ... -0.109 hartree per atom

***

No. 24
An optimized crystal structure of LiTeH2Os, computed with GGA-PBE.

a = 3.7951 Å, b = 3.7951 Å, c = 5.1999 Å
α = 90.00°, β = 90.00°, γ = 90.00°
Element x y z (fractional)
1 Li 0.0000 0.0000 0.0000
2 Te 0.5000 0.5000 0.5000
3 H 0.0000 0.5000 0.5000
4 H 0.5000 0.0000 0.5000
5 Os 0.5000 0.5000 0.0000

Computed properties:
Volume ... 14.98 Å³ per atom
VASP energy ... -0.136 hartree per atom